Entry 1:
First-principles (GGA-PBE) data for a geometry-optimized Ga6F structure, as listed in Alexandria.

The structure in POSCAR format:
```
Ga6F
1.0
-1.810 -1.358 -5.793
3.580 -4.593 2.184
-5.003 0.638 3.639
Ga F
6 1
direct
0.500 0.250 0.750
0.500 0.750 0.250
0.750 0.250 0.500
0.250 0.500 0.750
0.250 0.750 0.500
0.750 0.500 0.250
0.000 0.000 0.000
```

Summary:
Electronic total energy in eV/cell: -19.2
Calculated density in Mg/m³: 3.92
Spin magnetization in Bohr magnetons per cell: 0.0
Formation energy (no corrections) in eV per atom: 0.12


Entry 2:
First-principles (GGA-PBE) data for a geometry-optimized GaF structure, as listed in Alexandria.

The structure in POSCAR format:
```
GaF
1.0
10.411 0.000 0.000
0.000 10.411 0.000
0.000 0.000 3.191
Ga F
8 8
direct
0.460 0.249 0.000
0.749 0.040 0.500
0.960 0.749 0.500
0.249 0.540 0.000
0.540 0.751 0.000
0.040 0.251 0.500
0.251 0.960 0.500
0.751 0.460 0.000
0.629 0.877 0.500
0.871 0.623 0.000
0.877 0.371 0.500
0.123 0.629 0.500
0.377 0.871 0.000
0.623 0.129 0.000
0.129 0.377 0.000
0.371 0.123 0.500
```

Summary:
Electronic total energy in eV/cell: -64.5
Calculated density in Mg/m³: 3.41
Spin magnetization in Bohr magnetons per cell: 0.0
Formation energy (no corrections) in eV per atom: -1.58


Entry 3:
First-principles (GGA-PBE) data for a geometry-optimized GaF structure, as listed in Alexandria.

The structure in POSCAR format:
```
GaF
1.0
-2.737 -0.128 1.759
2.876 -0.560 1.420
0.776 8.649 1.839
F Ga
2 2
direct
0.333 0.667 0.362
0.667 0.333 0.862
0.333 0.667 0.720
0.667 0.333 0.220
```

Summary:
Electronic total energy in eV/cell: -15.7
Calculated density in Mg/m³: 3.62
Spin magnetization in Bohr magnetons per cell: 0.0
Formation energy (no corrections) in eV per atom: -1.47


Entry 4:
First-principles (GGA-PBE) data for a geometry-optimized GaF structure, as listed in Alexandria.

The structure in POSCAR format:
```
GaF
1.0
2.671 0.001 -0.003
-0.002 4.361 -0.068
-1.318 -0.759 5.496
Ga F
2 2
direct
0.880 0.192 0.256
0.120 0.808 0.744
0.936 0.728 0.367
0.064 0.272 0.633
```

Summary:
Electronic total energy in eV/cell: -16.1
Calculated density in Mg/m³: 4.61
Spin magnetization in Bohr magnetons per cell: 0.0
Formation energy (no corrections) in eV per atom: -1.59


Entry 5:
First-principles (GGA-PBE) data for a geometry-optimized GaF structure, as listed in Alexandria.

The structure in POSCAR format:
```
GaF
1.0
5.049 0.000 0.000
0.000 7.640 0.000
0.000 0.000 7.914
Ga F
8 8
direct
0.642 0.474 0.498
0.358 0.974 0.002
0.858 0.526 0.998
0.513 0.166 0.720
0.487 0.666 0.780
0.987 0.834 0.220
0.013 0.334 0.280
0.142 0.026 0.502
0.344 0.471 0.330
0.785 0.694 0.388
0.844 0.029 0.670
0.715 0.306 0.888
0.656 0.971 0.170
0.156 0.529 0.830
0.285 0.806 0.612
0.215 0.194 0.112
```

Summary:
Electronic total energy in eV/cell: -64.9
Calculated density in Mg/m³: 3.86
Spin magnetization in Bohr magnetons per cell: 0.0
Formation energy (no corrections) in eV per atom: -1.60


Entry 6:
First-principles (GGA-PBE) data for a geometry-optimized GaF3 structure, as listed in Alexandria.

The structure in POSCAR format:
```
GaF3
1.0
-2.278 1.810 -2.205
2.194 -0.699 -2.839
-4.632 -5.624 0.168
Ga F
2 6
direct
0.750 0.137 0.266
0.250 0.863 0.734
0.750 0.259 0.517
0.250 0.406 0.818
0.250 0.087 0.170
0.750 0.913 0.830
0.250 0.741 0.483
0.750 0.594 0.182
```

Summary:
Electronic total energy in eV/cell: -36.8
Calculated density in Mg/m³: 4.47
Spin magnetization in Bohr magnetons per cell: 0.0
Formation energy (no corrections) in eV per atom: -2.44